No. 1
VASP calculation (PBE-GGA) on an optimized crystal structure of Rb2PbC2O6.

```
11
Lattice="-5.3139 -1.9113 0.1036 3.1542 -0.6754 -4.6378 1.8566 -4.8685 5.4100" Properties=species:S:1:pos:R:3 pbc="T T T"
Rb -2.2247 -2.2245 -1.1886
Rb 1.9216 -5.2307 2.0644
Pb -1.7287 -3.3899 2.7568
C -0.8709 -5.9099 0.2627
C 0.5678 -1.5453 0.6131
O -0.9988 -5.4876 1.4909
O -0.5687 -1.6915 1.2382
O 3.4530 -4.6173 -0.4246
O 0.2656 -5.7637 -0.3624
O -3.7561 -2.8379 1.3004
O 0.6957 -1.9676 -0.6151
```

Properties
As for the uncorrected formation energy: -36.4 kcal/mol of atoms. As for the spin magnetization: 0.00 Bohr magnetons per cell. As for the density of states at the Fermi level: 0.00 states/eV per cell.


No. 2
VASP calculation (PBE-GGA) on an optimized crystal structure of RhPbC2O6.

```
10
Lattice="-0.3415 2.2199 4.4854 1.7023 -2.3445 4.0950 5.6376 2.3471 2.0727" Properties=species:S:1:pos:R:3 pbc="T T T"
Rh 3.4992 1.1113 5.3266
Pb 0.0000 0.0000 0.0000
C 5.0776 1.5880 8.0159
C 1.9208 0.6345 2.6373
O 4.9523 0.5550 3.7984
O 3.8932 3.2076 4.8720
O 1.8763 1.0524 3.8709
O 2.0461 1.6676 6.8548
O 3.1053 -0.9851 5.7812
O 5.1222 1.1701 6.7823
```

Properties
As for the uncorrected formation energy: -24.6 kcal/mol of atoms. As for the spin magnetization: 1.00 Bohr magnetons per cell. As for the density of states at the Fermi level: 2.93 states/eV per cell.